The following is a PBE calculation of a geometry-optimized Tb4SmHo4 structure, from Alexandria.

As for the symmetry: C2/m, No. 12. The calculation puts the raw total energy at -4.53 eV/atom. As for the energy above the most stable polymorph in this dataset: 6.38 kJ/mol of atoms. For the total magnetization, the calculation gives 0.00 μB/cell. For the energy of formation from the pure elements, the calculation gives 0.08 eV per atom.

Lattice parameters (Å, degrees): 9.136 9.136 10.796 93.17 93.17 139.81
Fractional positions:
Tb: 0.142 0.857 0.334
Tb: 0.143 0.857 0.000
Tb: 0.143 0.858 0.666
Tb: 0.315 0.685 0.500
Tb: 0.685 0.315 0.500
Tb: 0.857 0.142 0.334
Tb: 0.857 0.143 0.000
Tb: 0.858 0.143 0.666
Sm: 0.276 0.276 0.220
Sm: 0.724 0.724 0.780
Ho: 0.274 0.274 0.555
Ho: 0.275 0.275 0.888
Ho: 0.311 0.682 0.834
Ho: 0.318 0.689 0.166
Ho: 0.682 0.311 0.834
Ho: 0.689 0.318 0.166
Ho: 0.725 0.725 0.112
Ho: 0.726 0.726 0.445

The following is a PBE calculation of a geometry-optimized AlRe3 structure, from Alexandria.

As for the symmetry: Fm-3m, No. 225. The calculation puts the raw total energy at -10.28 eV/atom. For the total magnetization, the calculation gives 0.00 μB/cell. For the energy of formation from the pure elements, the calculation gives 0.00 eV per atom.

Lattice parameters (Å, degrees): 6.172 6.172 6.172 90.00 90.00 90.00
Fractional positions:
Al: 0.000 0.000 0.000
Al: 0.000 0.500 0.500
Al: 0.500 0.000 0.500
Al: 0.500 0.500 0.000
Re: 0.000 0.000 0.500
Re: 0.000 0.500 0.000
Re: 0.250 0.250 0.250
Re: 0.250 0.250 0.750
Re: 0.250 0.750 0.250
Re: 0.250 0.750 0.750
Re: 0.500 0.000 0.000
Re: 0.500 0.500 0.500
Re: 0.750 0.250 0.250
Re: 0.750 0.250 0.750
Re: 0.750 0.750 0.250
Re: 0.750 0.750 0.750

The following is a PBE calculation of a geometry-optimized Na3Cr2GeS6 structure, from Alexandria.

As for the symmetry: C2/m, No. 12. The calculation puts the raw total energy at -5.23 eV/atom. For the total magnetization, the calculation gives 5.00 μB/cell.

Lattice parameters (Å, degrees): 6.306 6.306 6.808 98.92 98.92 120.02
Fractional positions:
Na: 0.000 0.000 0.000
Na: 0.337 0.663 0.000
Na: 0.663 0.337 0.000
Cr: 0.167 0.833 0.500
Cr: 0.833 0.167 0.500
Ge: 0.500 0.500 0.500
S: 0.086 0.434 0.301
S: 0.219 0.219 0.699
S: 0.434 0.086 0.301
S: 0.566 0.914 0.699
S: 0.781 0.781 0.301
S: 0.914 0.566 0.699

The following is a PBE calculation of a geometry-optimized Tm2BeP structure, from Alexandria.

As for the symmetry: R-3m, No. 166. The calculation puts the raw total energy at -4.49 eV/atom. For the total magnetization, the calculation gives 0.00 μB/cell. For the energy of formation from the pure elements, the calculation gives 0.03 eV per atom.

Lattice parameters (Å, degrees): 3.731 3.731 26.857 90.00 90.00 120.00
Fractional positions:
Tm: 0.000 0.000 0.107
Tm: 0.000 0.000 0.893
Tm: 0.333 0.667 0.559
Tm: 0.333 0.667 0.774
Tm: 0.667 0.333 0.226
Tm: 0.667 0.333 0.441
Be: 0.000 0.000 0.000
Be: 0.333 0.667 0.667
Be: 0.667 0.333 0.333
P: 0.000 0.000 0.500
P: 0.333 0.667 0.167
P: 0.667 0.333 0.833

The following is a PBE calculation of a geometry-optimized Pr2UPdS6 structure, from Alexandria.

As for the symmetry: C2/m, No. 12. The calculation puts the raw total energy at -6.48 eV/atom. For the total magnetization, the calculation gives 1.94 μB/cell.

Lattice parameters (Å, degrees): 7.342 7.342 6.593 115.95 115.95 54.14
Fractional positions:
Pr: 0.250 0.250 0.204
Pr: 0.750 0.750 0.796
U: 0.500 0.500 0.000
Pd: 0.000 0.000 0.500
S: 0.156 0.681 0.186
S: 0.286 0.286 0.656
S: 0.319 0.844 0.814
S: 0.681 0.156 0.186
S: 0.714 0.714 0.344
S: 0.844 0.319 0.814

The following is a PBE calculation of a geometry-optimized Nd6PtSe2S3 structure, from Alexandria.

As for the symmetry: C2/m, No. 12. The calculation puts the raw total energy at -6.30 eV/atom. For the total magnetization, the calculation gives 0.00 μB/cell.

Lattice parameters (Å, degrees): 9.330 9.330 8.404 102.84 102.84 25.34
Fractional positions:
Nd: 0.002 0.002 0.255
Nd: 0.331 0.331 0.424
Nd: 0.337 0.337 0.907
Nd: 0.663 0.663 0.093
Nd: 0.669 0.669 0.576
Nd: 0.998 0.998 0.745
Pt: 0.500 0.500 0.500
Se: 0.168 0.168 0.836
Se: 0.832 0.832 0.164
S: 0.168 0.168 0.334
S: 0.500 0.500 0.000
S: 0.832 0.832 0.666

The following is a PBE calculation of a geometry-optimized SmGdHoRu structure, from Alexandria.

As for the symmetry: F-43m, No. 216. The calculation puts the raw total energy at -8.04 eV/atom. For the total magnetization, the calculation gives 29.91 μB/cell. For the energy of formation from the pure elements, the calculation gives 0.13 eV per atom.

Lattice parameters (Å, degrees): 7.343 7.343 7.343 90.00 90.00 90.00
Fractional positions:
Sm: 0.000 0.000 0.000
Sm: 0.000 0.500 0.500
Sm: 0.500 0.000 0.500
Sm: 0.500 0.500 0.000
Gd: 0.000 0.000 0.500
Gd: 0.000 0.500 0.000
Gd: 0.500 0.000 0.000
Gd: 0.500 0.500 0.500
Ho: 0.250 0.250 0.250
Ho: 0.250 0.750 0.750
Ho: 0.750 0.250 0.750
Ho: 0.750 0.750 0.250
Ru: 0.250 0.250 0.750
Ru: 0.250 0.750 0.250
Ru: 0.750 0.250 0.250
Ru: 0.750 0.750 0.750

The following is a PBE calculation of a geometry-optimized LaZrPb structure, from Alexandria.

As for the symmetry: I4mm, No. 107. The calculation puts the raw total energy at -5.85 eV/atom. As for the energy above the most stable polymorph in this dataset: 24.18 kJ/mol of atoms. For the total magnetization, the calculation gives 0.00 μB/cell. For the energy of formation from the pure elements, the calculation gives -0.13 eV per atom.

Lattice parameters (Å, degrees): 4.048 4.048 10.357 90.00 90.00 90.00
Fractional positions:
La: 0.000 0.000 0.000
La: 0.500 0.500 0.500
Zr: 0.000 0.000 0.300
Zr: 0.500 0.500 0.800
Pb: 0.000 0.000 0.679
Pb: 0.500 0.500 0.179